## PmCd3 (PBEsol)

Data for an optimized crystal structure of PmCd3.

Formation enthalpy at 0 K, eV per atom: -0.339
Total energy, eV/atom: -2.520

a = 7.124 Å, b = 7.124 Å, c = 7.124 Å
α = 90.00°, β = 90.00°, γ = 90.00°
Space group Fm-3m (No. 225)
Inequivalent atoms, fractional coordinates:
Pm1 0.000 0.000 0.000
Cd1 0.000 0.000 0.500
Cd2 0.250 0.250 0.250

=====

## Pm2ZnOs (PBEsol)

Data for an optimized crystal structure of Pm2ZnOs.

Formation enthalpy at 0 K, eV per atom: -0.130
Total energy, eV/atom: -6.147

a = 7.010 Å, b = 7.010 Å, c = 7.010 Å
α = 90.00°, β = 90.00°, γ = 90.00°
Space group Fm-3m (No. 225)
Inequivalent atoms, fractional coordinates:
Pm1 0.250 0.250 0.250
Zn1 0.000 0.000 0.000
Os1 0.000 0.000 0.500

=====

## BeAg2Rh (PBEsol)

Data for an optimized crystal structure of BeAg2Rh.

Formation enthalpy at 0 K, eV per atom: 0.210
Total energy, eV/atom: -4.481

a = 2.7356 Å, b = 2.7356 Å, c = 25.4981 Å
α = 90.00°, β = 90.00°, γ = 120.00°
Space group R-3m (No. 166, hexagonal axes)
Inequivalent atoms, fractional coordinates:
Be1 0.0000 0.0000 0.0000
Ag1 0.0000 0.0000 0.2579
Rh1 0.0000 0.0000 0.5000